RbPAuS2 | meta-GGA SCAN | PBEsol geometry

Geometry as POSCAR:
```
RbPAuS2
1.0
-1.496 5.372 1.080
-5.466 -1.542 0.096
0.410 -1.083 5.957
Rb S Au P
1 2 1 1
Cartesian
0.000 0.000 0.000
-0.748 2.686 0.540
-2.733 -0.771 0.048
-3.276 1.374 3.566
0.205 -0.541 2.978
```

Values from the calculation:
**Space-group type**: No. 123
**Mass density**: 3.202 g/cm3
**E_form (uncorrected)**: 1781 meV per atom
**Raw total energy**: -22.129 eV/atom